Below is a relaxed Co2PdAu crystal, with properties calculated at the PBE-GGA level.

Computed properties:
* symmetry: F-43m, No. 216
* uncorrected energy: -21.660 eV/cell

Unit cell a=4.3203 b=4.3203 c=4.3203 alpha=60.00 beta=60.00 gamma=60.00
Each line ends with the local moment (μB).
Atoms (fractional coordinates):
Au (0.2500, 0.2500, 0.2500)  0.04
Co (0.0000, 0.0000, 0.0000)  1.90
Co (0.7500, 0.7500, 0.7500)  2.00
Pd (0.5000, 0.5000, 0.5000)  0.15